Below is crystalline CoOs2Cl at its relaxed geometry, with properties calculated at the PBE-GGA level.

Structure (POSCAR):
```
CoOs2Cl
1.0
2.804 0.000 0.000
0.000 3.578 0.000
0.000 0.000 6.502
Co Os Cl
1 2 1
Direct
0.000 0.000 0.000
0.000 0.000 0.389
0.500 0.500 0.205
0.500 0.500 0.806
```

Fermi-level density of states (states/eV per cell): 4.4
Density (g cm⁻³): 12.09
ΔE to the lowest computed polymorph (eV/f.u.): 1.081